DFT (GGA-PBE) results for an optimized crystal structure of ZrGa.

Cell: 4.263 9.790 5.618 Å, 90.00 90.00 90.00°
Sites, in units of the cell vectors:
Zr1 0.000 0.075 0.000
Zr2 0.000 0.384 0.176
Zr3 0.000 0.616 0.676
Zr4 0.000 0.925 0.500
Zr5 0.500 0.142 0.420
Zr6 0.500 0.858 0.920
Ga1 0.000 0.300 0.659
Ga2 0.000 0.700 0.159
Ga3 0.500 0.241 0.928
Ga4 0.500 0.459 0.474
Ga5 0.500 0.541 0.974
Ga6 0.500 0.759 0.428

Values from the calculation:
* crystal system: orthorhombic
* space-group type: Pmc2_1, No. 26
* uncorrected energy: -73.688 eV for the cell shown
* density: 6.84 g cm⁻³